This record from the Alexandria database describes a geometry-optimized LiTm3Si3 structure. The functional is PBE.

Unit cell a=5.648 b=5.648 c=13.507 alpha=108.72 beta=108.72 gamma=43.65
Sites, in units of the cell vectors:
Li  0.243  0.243  0.406
Li  0.757  0.757  0.594
Tm  0.255  0.255  0.778
Tm  0.395  0.395  0.077
Tm  0.470  0.470  0.622
Tm  0.530  0.530  0.378
Tm  0.605  0.605  0.923
Tm  0.745  0.745  0.222
Si  0.035  0.035  0.228
Si  0.112  0.112  0.076
Si  0.121  0.121  0.550
Si  0.879  0.879  0.450
Si  0.888  0.888  0.924
Si  0.965  0.965  0.772

SG   C2/m (12)
Raw formation energy   -679 meV per atom
DFT total energy   -5.19 eV/atom



This record from the Alexandria database describes a geometry-optimized La4TbPr2Ho structure. The functional is PBE.

Unit cell a=5.224 b=5.262 c=10.288 alpha=90.00 beta=90.08 gamma=90.00
Sites, in units of the cell vectors:
La  0.000  0.000  0.250
La  0.000  0.000  0.750
La  0.499  0.500  0.249
La  0.501  0.500  0.751
Tb  0.500  0.000  0.500
Pr  0.000  0.500  0.500
Pr  0.500  0.000  0.000
Ho  0.000  0.500  0.000

SG   P2/m (10)
DFT total energy   -4.80 eV/atom



This record from the Alexandria database describes a geometry-optimized CsTe2PtN structure. The functional is PBE.

Unit cell a=6.313 b=6.313 c=4.092 alpha=90.00 beta=90.00 gamma=90.00
Sites, in units of the cell vectors:
Cs  0.000  0.000  0.000
Te  0.000  0.500  0.000
Te  0.500  0.000  0.000
Pt  0.500  0.500  0.500
N  0.000  0.000  0.500

Energy above the most stable polymorph in this dataset   47.52 kcal/mol of atoms
SG   P4/mmm (123)
Raw formation energy   2228 meV per atom
DFT total energy   -2.07 eV/atom



This record from the Alexandria database describes a geometry-optimized SiTc2Te structure. The functional is PBE.

Unit cell a=3.105 b=4.632 c=4.485 alpha=90.00 beta=90.00 gamma=90.00
Sites, in units of the cell vectors:
Si  0.000  0.000  0.000
Tc  0.000  0.500  0.759
Tc  0.500  0.000  0.545
Te  0.500  0.500  0.252

Energy above the most stable polymorph in this dataset   1.85 kcal/mol of atoms
SG   Pmm2 (25)
Raw formation energy   75 meV per atom
DFT total energy   -7.25 eV/atom